<w>
VASP calculation (GGA-PBE) on an optimized crystal structure of Tb3Pm6Pr2.

Cell lengths 17.3968, 17.3968, 17.3968 Å; angles 164.10, 164.10, 22.56 degrees
With the nearest neighbours (Å) after each atom.
Fractional positions:
Tb: 0.0000 0.0000 0.0000  8 Pr 3.74
Tb: 0.1995 0.1995 0.0000  9 Pm 3.40-3.57
Tb: 0.8005 0.8005 0.0000  9 Pm 3.40-3.57
Pm: 0.1223 0.6223 0.5000  6 Pm 3.40-3.57, 2 Pr 3.55, 2 Tb 3.57
Pm: 0.3003 0.3003 0.0000  5 Tb 3.40-3.44, 4 Pm 3.57
Pm: 0.3777 0.8777 0.5000  6 Pm 3.40-3.57, 2 Pr 3.55, 2 Tb 3.57
Pm: 0.6223 0.1223 0.5000  6 Pm 3.40-3.57, 2 Pr 3.55, 2 Tb 3.57
Pm: 0.6997 0.6997 0.0000  5 Tb 3.40-3.44, 4 Pm 3.57
Pm: 0.8777 0.3777 0.5000  6 Pm 3.40-3.57, 2 Pr 3.55, 2 Tb 3.57
Pr: 0.4543 0.4543 0.0000  1 Pr 3.12
Pr: 0.5457 0.5457 0.0000  1 Pr 3.12

- Theoretical density: 6.85 Mg/m³
- Crystal system: tetragonal
- Calculated volume: 35.9 Å³ per atom

---

<x>
VASP calculation (GGA-PBE) on an optimized crystal structure of Tb3Pm6Pr2.

Cell lengths 6.2480, 6.2480, 11.8731 Å; angles 95.12, 95.12, 120.11 degrees
With the nearest neighbours (Å) after each atom.
Fractional positions:
Tb: 0.0000 0.0000 0.0000  6 Pm 3.56-3.57, 6 Tb 3.60-3.62
Tb: 0.3346 0.6654 0.0000  6 Pm 3.55-3.57, 6 Tb 3.58-3.62
Tb: 0.6654 0.3346 0.0000  6 Pm 3.55-3.57, 6 Tb 3.58-3.62
Pm: 0.0837 0.4160 0.2477  3 Tb 3.56-3.57, 6 Pm 3.60-3.61, 2 Pr 3.61-3.62
Pm: 0.2512 0.2512 0.7523  3 Tb 3.55-3.57, 6 Pm 3.60-3.61, 2 Pr 3.60
Pm: 0.4160 0.0837 0.2477  3 Tb 3.56-3.57, 6 Pm 3.60-3.61, 2 Pr 3.61-3.62
Pm: 0.5840 0.9163 0.7523  3 Tb 3.56-3.57, 6 Pm 3.60-3.61, 2 Pr 3.61-3.62
Pm: 0.7488 0.7488 0.2477  3 Tb 3.55-3.57, 6 Pm 3.60-3.61, 2 Pr 3.60
Pm: 0.9163 0.5840 0.7523  3 Tb 3.56-3.57, 6 Pm 3.60-3.61, 2 Pr 3.61-3.62
Pr: 0.1663 0.8337 0.5000  3 Pr 3.60-3.61, 6 Pm 3.60-3.62
Pr: 0.8337 0.1663 0.5000  3 Pr 3.60-3.61, 6 Pm 3.60-3.62

- Theoretical density: 6.86 Mg/m³
- Crystal system: monoclinic
- Calculated volume: 35.9 Å³ per atom

---

Unit: meV per atom. Relative energies: <w> 102; <x> 0.

---

<w>
VASP calculation (GGA-PBE) on an optimized crystal structure of TbPm2Pr3.

Cell lengths 8.5344, 3.7574, 13.1939 Å; angles 90.00, 90.07, 90.00 degrees
With the nearest neighbours (Å) after each atom.
Fractional positions:
Tb: 0.1881 0.2500 0.2513  5 Pr 3.45-3.55, 4 Pm 3.46-3.55, 2 Tb 3.76
Tb: 0.8119 0.7500 0.7487  5 Pr 3.45-3.55, 4 Pm 3.46-3.55, 2 Tb 3.76
Pm: 0.0861 0.2500 0.8923  2 Tb 3.55, 6 Pr 3.64-3.76, 4 Pm 3.71-3.76
Pm: 0.3505 0.7500 0.4447  2 Tb 3.46, 4 Pm 3.49-3.76, 5 Pr 3.63-3.84
Pm: 0.6495 0.2500 0.5553  2 Tb 3.46, 4 Pm 3.49-3.76, 5 Pr 3.63-3.84
Pm: 0.9139 0.7500 0.1077  2 Tb 3.55, 6 Pr 3.64-3.76, 4 Pm 3.71-3.76
Pr: 0.0889 0.2500 0.6085  2 Tb 3.54, 4 Pm 3.63-3.81, 6 Pr 3.71-3.76
Pr: 0.3478 0.7500 0.0575  2 Tb 3.45, 6 Pr 3.55-3.86, 3 Pm 3.64-3.76
Pr: 0.3955 0.7500 0.7485  1 Tb 3.55, 6 Pr 3.71-3.86, 4 Pm 3.76-3.84
Pr: 0.6045 0.2500 0.2515  1 Tb 3.55, 6 Pr 3.71-3.86, 4 Pm 3.76-3.84
Pr: 0.6522 0.2500 0.9425  2 Tb 3.45, 6 Pr 3.55-3.86, 3 Pm 3.64-3.76
Pr: 0.9111 0.7500 0.3915  2 Tb 3.54, 4 Pm 3.63-3.81, 6 Pr 3.71-3.76

- Theoretical density: 6.84 Mg/m³
- Crystal system: monoclinic
- Calculated volume: 35.3 Å³ per atom

---

<x>
VASP calculation (GGA-PBE) on an optimized crystal structure of TbPm2Pr3.

Cell lengths 6.9919, 6.9919, 17.9471 Å; angles 101.79, 101.79, 29.76 degrees
With the nearest neighbours (Å) after each atom.
Fractional positions:
Tb: 0.0428 0.0428 0.1802  4 Pm 3.58-3.67, 2 Tb 3.59, 5 Pr 3.62-3.80
Tb: 0.9572 0.9572 0.8198  4 Pm 3.58-3.67, 2 Tb 3.59, 5 Pr 3.62-3.80
Pm: 0.1313 0.1313 0.0006  3 Pr 3.49-3.62, 5 Pm 3.55-3.68, 2 Tb 3.58-3.67
Pm: 0.3019 0.3019 0.6649  7 Pr 3.41-3.70, 2 Tb 3.59, 2 Pm 3.59
Pm: 0.6981 0.6981 0.3351  7 Pr 3.41-3.70, 2 Tb 3.59, 2 Pm 3.59
Pm: 0.8687 0.8687 0.9994  3 Pr 3.49-3.62, 5 Pm 3.55-3.68, 2 Tb 3.58-3.67
Pr: 0.1262 0.1262 0.4916  9 Pr 3.49-3.87, 3 Pm 3.49-3.63
Pr: 0.2291 0.2291 0.8357  4 Pm 3.41-3.62, 4 Pr 3.59-3.81, 3 Tb 3.62-3.63
Pr: 0.4364 0.4364 0.3328  3 Pm 3.53-3.70, 8 Pr 3.59-3.87, 2 Tb 3.80
Pr: 0.5636 0.5636 0.6672  3 Pm 3.53-3.70, 8 Pr 3.59-3.87, 2 Tb 3.80
Pr: 0.7709 0.7709 0.1643  4 Pm 3.41-3.62, 4 Pr 3.59-3.81, 3 Tb 3.62-3.63
Pr: 0.8738 0.8738 0.5084  9 Pr 3.49-3.87, 3 Pm 3.49-3.63

- Theoretical density: 6.80 Mg/m³
- Crystal system: monoclinic
- Calculated volume: 35.5 Å³ per atom

---

Unit: meV per atom. Relative energies: <w> 0; <x> 52.

---

<w>
VASP calculation (GGA-PBE) on an optimized crystal structure of TbPmPr.

Cell lengths 9.8030, 9.8030, 9.8030 Å; angles 119.87, 84.23, 127.05 degrees
With the nearest neighbours (Å) after each atom.
Fractional positions:
Tb: 0.1925 0.0206 0.2131  5 Pm 3.34-3.72, 2 Pr 3.37-3.44
Tb: 0.1925 0.4794 0.6718  5 Pm 3.34-3.72, 2 Pr 3.37-3.44
Tb: 0.5257 0.3774 0.6483  3 Pm 3.25-3.50, 4 Pr 3.27-3.43
Tb: 0.7291 0.8774 0.3517  3 Pm 3.25-3.50, 4 Pr 3.27-3.43
Tb: 0.8075 0.5206 0.3282  5 Pm 3.34-3.72, 2 Pr 3.37-3.44
Tb: 0.8075 0.9794 0.7869  5 Pm 3.34-3.72, 2 Pr 3.37-3.44
Pm: 0.0969 0.0319 0.5649  6 Tb 3.25-3.45
Pm: 0.1087 0.5483 0.0604  4 Tb 3.62-3.72, 6 Pr 3.64-3.80, 1 Pm 3.85
Pm: 0.4670 0.5319 0.4351  6 Tb 3.25-3.45
Pm: 0.4879 0.0483 0.9396  4 Tb 3.62-3.72, 6 Pr 3.64-3.80, 1 Pm 3.85
Pm: 0.9877 0.2388 0.2489  5 Tb 3.50-3.85, 4 Pr 3.62-3.67, 2 Pm 3.73-3.85
Pm: 0.9900 0.7388 0.7511  5 Tb 3.50-3.85, 4 Pr 3.62-3.67, 2 Pm 3.73-3.85
Pr: 0.3011 0.3011 0.0000  2 Pr 3.59, 6 Pm 3.65-3.69, 2 Tb 3.85
Pr: 0.3011 0.8011 0.5000  2 Pr 3.59, 6 Pm 3.65-3.69, 2 Tb 3.85
Pr: 0.5586 0.0811 0.3154  4 Tb 3.27-3.44, 3 Pr 3.32-3.59, 2 Pm 3.62-3.64
Pr: 0.5586 0.7432 0.9775  4 Tb 3.27-3.44, 3 Pr 3.32-3.59, 2 Pm 3.62-3.64
Pr: 0.7657 0.2432 0.6846  4 Tb 3.27-3.44, 3 Pr 3.32-3.59, 2 Pm 3.62-3.64
Pr: 0.7657 0.5811 0.0225  4 Tb 3.27-3.44, 3 Pr 3.32-3.59, 2 Pm 3.62-3.64

- Theoretical density: 7.10 Mg/m³
- Crystal system: orthorhombic
- Calculated volume: 34.7 Å³ per atom

---

<x>
VASP calculation (GGA-PBE) on an optimized crystal structure of TbPmPr.

Cell lengths 5.7684, 5.7684, 3.5456 Å; angles 90.00, 90.00, 120.00 degrees
With the nearest neighbours (Å) after each atom.
Fractional positions:
Tb: 0.0000 0.0000 0.0000  3 Pm 3.33, 2 Tb 3.55
Pm: 0.3333 0.6667 0.0000  3 Tb 3.33, 2 Pm 3.55
Pr: 0.6667 0.3333 0.5000  2 Pr 3.55, 6 Tb 3.77, 6 Pm 3.77

- Theoretical density: 7.23 Mg/m³
- Crystal system: hexagonal
- Calculated volume: 34.1 Å³ per atom

---

Unit: meV per atom. Relative energies: <w> 99; <x> 0.

---

<w>
VASP calculation (GGA-PBE) on an optimized crystal structure of TbPm6Pr3.

Cell lengths 6.7600, 6.7600, 9.2033 Å; angles 104.92, 104.92, 61.28 degrees
With the nearest neighbours (Å) after each atom.
Fractional positions:
Tb: 0.0000 0.0000 0.0000  10 Pm 3.68-3.91, 4 Pr 3.77
Pm: 0.0726 0.5517 0.1978  3 Pr 3.21-3.58, 3 Pm 3.30-3.59
Pm: 0.1250 0.1250 0.4180  7 Pm 3.66-4.02, 1 Tb 3.68, 4 Pr 3.90-4.09
Pm: 0.4483 0.9274 0.8022  3 Pr 3.21-3.58, 3 Pm 3.30-3.59
Pm: 0.5517 0.0726 0.1978  3 Pr 3.21-3.58, 3 Pm 3.30-3.59
Pm: 0.8750 0.8750 0.5820  7 Pm 3.66-4.02, 1 Tb 3.68, 4 Pr 3.90-4.09
Pm: 0.9274 0.4483 0.8022  3 Pr 3.21-3.58, 3 Pm 3.30-3.59
Pr: 0.4228 0.4228 0.8316  2 Pr 3.08-3.43, 2 Pm 3.21
Pr: 0.5000 0.5000 0.5000  4 Pm 3.41, 2 Pr 3.43
Pr: 0.5772 0.5772 0.1684  2 Pr 3.08-3.43, 2 Pm 3.21

- Theoretical density: 6.85 Mg/m³
- Crystal system: monoclinic
- Calculated volume: 35.2 Å³ per atom

---

<x>
VASP calculation (GGA-PBE) on an optimized crystal structure of TbPm6Pr3.

Cell lengths 11.1668, 11.1668, 6.5121 Å; angles 90.00, 90.00, 120.71 degrees
With the nearest neighbours (Å) after each atom.
Fractional positions:
Tb: 0.1907 0.8093 0.5000  2 Pr 3.31, 6 Pm 3.36-3.65
Tb: 0.8093 0.1907 0.0000  2 Pr 3.31, 6 Pm 3.36-3.65
Pm: 0.0346 0.9654 0.7544  1 Tb 3.45, 4 Pm 3.52-3.86, 4 Pr 3.58-3.60
Pm: 0.0575 0.4745 0.2433  3 Pm 3.18-3.52, 2 Pr 3.35-3.51, 1 Tb 3.36
Pm: 0.2760 0.7240 0.9638  4 Pm 3.18-3.52, 1 Tb 3.44, 1 Pr 3.51
Pm: 0.2870 0.3717 0.0574  3 Pr 3.46-3.59, 5 Pm 3.52-3.86
Pm: 0.3717 0.2870 0.5574  3 Pr 3.46-3.59, 5 Pm 3.52-3.86
Pm: 0.4745 0.0575 0.7433  3 Pm 3.18-3.52, 2 Pr 3.35-3.51, 1 Tb 3.36
Pm: 0.5255 0.9425 0.2433  3 Pm 3.18-3.52, 2 Pr 3.35-3.51, 1 Tb 3.36
Pm: 0.6283 0.7130 0.0574  3 Pr 3.46-3.59, 5 Pm 3.52-3.86
Pm: 0.7130 0.6283 0.5574  3 Pr 3.46-3.59, 5 Pm 3.52-3.86
Pm: 0.7240 0.2760 0.4638  4 Pm 3.18-3.52, 1 Tb 3.44, 1 Pr 3.51
Pm: 0.9425 0.5255 0.7433  3 Pm 3.18-3.52, 2 Pr 3.35-3.51, 1 Tb 3.36
Pm: 0.9654 0.0346 0.2544  1 Tb 3.45, 4 Pm 3.52-3.86, 4 Pr 3.58-3.60
Pr: 0.0588 0.2921 0.6513  1 Tb 3.31, 6 Pm 3.35-3.60, 1 Pr 3.67
Pr: 0.2921 0.0588 0.1513  1 Tb 3.31, 6 Pm 3.35-3.60, 1 Pr 3.67
Pr: 0.3851 0.6149 0.5343  7 Pm 3.51-3.90, 2 Pr 3.67, 1 Tb 3.78
Pr: 0.6149 0.3851 0.0343  7 Pm 3.51-3.90, 2 Pr 3.67, 1 Tb 3.78
Pr: 0.7079 0.9412 0.6513  1 Tb 3.31, 6 Pm 3.35-3.60, 1 Pr 3.67
Pr: 0.9412 0.7079 0.1513  1 Tb 3.31, 6 Pm 3.35-3.60, 1 Pr 3.67

- Theoretical density: 6.90 Mg/m³
- Crystal system: orthorhombic
- Calculated volume: 34.9 Å³ per atom

---

Unit: meV per atom. Relative energies: <w> 79; <x> 0.

---

<w>
VASP calculation (GGA-PBE) on an optimized crystal structure of TbPm7Pr3.

Cell lengths 7.8420, 7.8420, 6.5228 Å; angles 93.58, 93.58, 81.89 degrees
With the nearest neighbours (Å) after each atom.
Fractional positions:
Tb: 0.0000 0.0000 0.0000  4 Pm 3.26-3.46
Pm: 0.0000 0.0000 0.5000  2 Tb 3.26, 2 Pr 3.36, 2 Pm 3.48
Pm: 0.0711 0.4148 0.7615  6 Pm 3.39-3.79, 3 Pr 3.59-3.75
Pm: 0.2598 0.2598 0.2858  5 Pm 3.39-3.59, 1 Tb 3.46, 3 Pr 3.53-3.54
Pm: 0.4148 0.0711 0.7615  6 Pm 3.39-3.79, 3 Pr 3.59-3.75
Pm: 0.5852 0.9289 0.2385  6 Pm 3.39-3.79, 3 Pr 3.59-3.75
Pm: 0.7402 0.7402 0.7142  5 Pm 3.39-3.59, 1 Tb 3.46, 3 Pr 3.53-3.54
Pm: 0.9289 0.5852 0.2385  6 Pm 3.39-3.79, 3 Pr 3.59-3.75
Pr: 0.3268 0.6732 0.5000  7 Pm 3.36-3.61, 3 Pr 3.56-3.72
Pr: 0.5000 0.5000 0.0000  6 Pm 3.53-3.75, 4 Pr 3.72
Pr: 0.6732 0.3268 0.5000  7 Pm 3.36-3.61, 3 Pr 3.56-3.72

- Theoretical density: 6.70 Mg/m³
- Crystal system: monoclinic
- Calculated volume: 36.0 Å³ per atom

---

<x>
VASP calculation (GGA-PBE) on an optimized crystal structure of TbPm7Pr3.

Cell lengths 7.2418, 7.2418, 8.8364 Å; angles 90.00, 90.00, 120.00 degrees
With the nearest neighbours (Å) after each atom.
Fractional positions:
Tb: 0.0000 0.0000 0.0000  9 Pm 3.55-3.62, 3 Pr 3.66
Pm: 0.0007 0.5004 0.0066  7 Pm 3.56-3.63, 2 Pr 3.61, 2 Tb 3.62
Pm: 0.3322 0.1661 0.6750  1 Tb 3.55, 8 Pm 3.60-3.63, 2 Pr 3.62
Pm: 0.3333 0.6667 0.6807  9 Pm 3.56-3.62, 3 Pr 3.67
Pm: 0.4996 0.5004 0.0066  7 Pm 3.56-3.63, 2 Pr 3.61, 2 Tb 3.62
Pm: 0.4996 0.9993 0.0066  7 Pm 3.56-3.63, 2 Pr 3.61, 2 Tb 3.62
Pm: 0.8339 0.1661 0.6750  1 Tb 3.55, 8 Pm 3.60-3.63, 2 Pr 3.62
Pm: 0.8339 0.6678 0.6750  1 Tb 3.55, 8 Pm 3.60-3.63, 2 Pr 3.62
Pr: 0.1664 0.3328 0.3397  5 Pm 3.61-3.67, 4 Pr 3.61-3.63, 1 Tb 3.66
Pr: 0.1664 0.8336 0.3397  5 Pm 3.61-3.67, 4 Pr 3.61-3.63, 1 Tb 3.66
Pr: 0.6672 0.8336 0.3397  5 Pm 3.61-3.67, 4 Pr 3.61-3.63, 1 Tb 3.66

- Theoretical density: 6.61 Mg/m³
- Crystal system: trigonal
- Calculated volume: 36.5 Å³ per atom

---

Unit: meV per atom. Relative energies: <w> 58; <x> 0.